1.
# LaCe2Ga | the Alexandria database | PBE-GGA | relaxed
# - M_tot: 0.00 μB per cell
# - Crystal system: monoclinic
# - Total DFT energy (no corrections): -41.9 eV/cell
# - Energy relative to the lowest polymorph listed for this composition: 0 meV per atom
data_LaCe2Ga
_chemical_formula_sum 'La2 Ce4 Ga2'
_space_group_name_H-M_alt 'P 1 21/m 1'
_space_group_IT_number 11
_cell_length_a 4.4839
_cell_length_b 4.3573
_cell_length_c 11.4358
_cell_angle_alpha 90.00
_cell_angle_beta 99.89
_cell_angle_gamma 90.00
loop_
_space_group_symop_operation_xyz
'x,y,z'
'-x,-y,-z'
'-x,y+1/2,-z'
'x,-y+1/2,z'
loop_
_atom_site_label
_atom_site_type_symbol
_atom_site_fract_x
_atom_site_fract_y
_atom_site_fract_z
La1 La 0.1984 0.2500 0.3975
Ce1 Ce 0.1058 0.7500 0.1206
Ce2 Ce 0.4946 0.7500 0.8825
Ga1 Ga 0.3284 0.2500 0.6851

---

2.
# LaCeGa2 | the Alexandria database | PBE-GGA | relaxed
# - M_tot: 1.88 μB per cell
# - Crystal system: trigonal
# - Total DFT energy (no corrections): -54.1 eV/cell
data_LaCeGa2
_chemical_formula_sum 'La3 Ce3 Ga6'
_space_group_name_H-M_alt 'R -3 m'
_space_group_IT_number 166
_space_group_name_Hall '-R 3 2"'
_cell_length_a 3.7427
_cell_length_b 3.7427
_cell_length_c 27.4316
_cell_angle_alpha 90.00
_cell_angle_beta 90.00
_cell_angle_gamma 120.00
loop_
_atom_site_label
_atom_site_type_symbol
_atom_site_fract_x
_atom_site_fract_y
_atom_site_fract_z
La1 La 0.0000 0.0000 0.0000
Ce1 Ce 0.0000 0.0000 0.5000
Ga1 Ga 0.0000 0.0000 0.2479

---

3.
# LaCe2Ga | the Alexandria database | PBE-GGA | relaxed
# - M_tot: 1.64 μB per cell
# - Crystal system: tetragonal
# - Total DFT energy (no corrections): -20.7 eV/cell
# - Energy relative to the lowest polymorph listed for this composition: 73 meV per atom
data_LaCe2Ga
_chemical_formula_sum 'La1 Ce2 Ga1'
_space_group_name_H-M_alt 'P 4/m m m'
_space_group_IT_number 123
_space_group_name_Hall '-P 4 2'
_cell_length_a 4.6909
_cell_length_b 4.6909
_cell_length_c 4.8575
_cell_angle_alpha 90.00
_cell_angle_beta 90.00
_cell_angle_gamma 90.00
loop_
_atom_site_label
_atom_site_type_symbol
_atom_site_fract_x
_atom_site_fract_y
_atom_site_fract_z
La1 La 0.0000 0.0000 0.0000
Ce1 Ce 0.0000 0.5000 0.5000
Ga1 Ga 0.5000 0.5000 0.0000

---

4.
# LaCeGa2 | the Alexandria database | PBE-GGA | relaxed
# - M_tot: 0.00 μB per cell
# - Crystal system: orthorhombic
# - Total DFT energy (no corrections): -76.0 eV/cell
data_LaCeGa2
_chemical_formula_sum 'La4 Ce4 Ga8'
_space_group_name_H-M_alt 'P n m a'
_space_group_IT_number 62
_cell_length_a 8.8041
_cell_length_b 4.2119
_cell_length_c 11.1668
_cell_angle_alpha 90.00
_cell_angle_beta 90.00
_cell_angle_gamma 90.00
loop_
_space_group_symop_operation_xyz
'x,y,z'
'-x,-y,-z'
'-x+1/2,-y,z+1/2'
'x+1/2,y,-z+1/2'
'x+1/2,-y+1/2,-z+1/2'
'-x+1/2,y+1/2,z+1/2'
'-x,y+1/2,-z'
'x,-y+1/2,z'
loop_
_atom_site_label
_atom_site_type_symbol
_atom_site_fract_x
_atom_site_fract_y
_atom_site_fract_z
La1 La 0.1399 0.2500 0.1484
Ce1 Ce 0.0172 0.7500 0.4216
Ga1 Ga 0.1430 0.2500 0.8197
Ga2 Ga 0.2246 0.7500 0.9392